VASP calculation (PBE-GGA) on SmErCo4 after structural relaxation.

abc: 5.0888 5.0888 5.0888
angles: 60.00 60.00 60.00
Fractional positions:
1 Sm 0.0000 0.0000 0.0000
2 Er 0.2500 0.2500 0.2500
3 Co 0.1264 0.6245 0.6245
4 Co 0.6245 0.1264 0.6245
5 Co 0.6245 0.6245 0.1264
6 Co 0.6245 0.6245 0.6245

- Energy of formation: -0.166 eV/atom
- Symmetry: F-43m (216)
- Crystal system: cubic
- ρ: 9.9 g cm⁻³